ScGa6Ag12 | PBE | optimized geometry

The structure in CIF format:
```
data_ScGa6Ag12
_symmetry_space_group_name_H-M 'P 1'
_symmetry_Int_Tables_number 1
_symmetry_space_group_name_Hall 'P 1'
_cell_length_a 7.267
_cell_length_b 7.267
_cell_length_c 7.267
_cell_angle_alpha 102.78
_cell_angle_beta 102.78
_cell_angle_gamma 102.78
loop_
_atom_site_label
_atom_site_type_symbol
_atom_site_fract_x
_atom_site_fract_y
_atom_site_fract_z
Sc1 Sc 0.000 0.000 0.000
Ga1 Ga 0.833 0.834 0.573
Ga2 Ga 0.427 0.167 0.166
Ga3 Ga 0.166 0.427 0.167
Ga4 Ga 0.167 0.166 0.427
Ga5 Ga 0.573 0.833 0.834
Ga6 Ga 0.834 0.573 0.833
Ag1 Ag 0.808 0.417 0.416
Ag2 Ag 0.416 0.808 0.417
Ag3 Ag 0.417 0.416 0.808
Ag4 Ag 0.192 0.583 0.584
Ag5 Ag 0.584 0.192 0.583
Ag6 Ag 0.583 0.584 0.192
Ag7 Ag 0.000 0.738 0.263
Ag8 Ag 0.262 0.737 0.000
Ag9 Ag 0.737 0.000 0.262
Ag10 Ag 0.000 0.262 0.737
Ag11 Ag 0.738 0.263 0.000
Ag12 Ag 0.263 0.000 0.738
```

Values from the calculation:
energy of formation from the pure elements = -0.0212 eV per atom
crystal system = trigonal

Sc2GaAg2 | PBE | optimized geometry

The structure in CIF format:
```
data_Sc2GaAg2
_symmetry_space_group_name_H-M 'P 1'
_symmetry_Int_Tables_number 1
_symmetry_space_group_name_Hall 'P 1'
_cell_length_a 7.357
_cell_length_b 7.357
_cell_length_c 3.706
_cell_angle_alpha 90.00
_cell_angle_beta 90.00
_cell_angle_gamma 90.00
loop_
_atom_site_label
_atom_site_type_symbol
_atom_site_fract_x
_atom_site_fract_y
_atom_site_fract_z
Sc1 Sc 0.169 0.669 0.500
Sc2 Sc 0.669 0.831 0.500
Sc3 Sc 0.831 0.331 0.500
Sc4 Sc 0.331 0.169 0.500
Ga1 Ga 0.000 0.000 0.000
Ga2 Ga 0.500 0.500 0.000
Ag1 Ag 0.367 0.867 0.000
Ag2 Ag 0.867 0.633 0.000
Ag3 Ag 0.633 0.133 0.000
Ag4 Ag 0.133 0.367 0.000
```

Values from the calculation:
energy relative to the lowest polymorph listed for this composition = 52.0 meV/atom
energy of formation from the pure elements = -0.2602 eV per atom
crystal system = tetragonal

Sc3Ga3Ag2 | PBE | optimized geometry

The structure in CIF format:
```
data_Sc3Ga3Ag2
_symmetry_space_group_name_H-M 'P 1'
_symmetry_Int_Tables_number 1
_symmetry_space_group_name_Hall 'P 1'
_cell_length_a 4.299
_cell_length_b 5.699
_cell_length_c 13.614
_cell_angle_alpha 90.00
_cell_angle_beta 90.00
_cell_angle_gamma 112.16
loop_
_atom_site_label
_atom_site_type_symbol
_atom_site_fract_x
_atom_site_fract_y
_atom_site_fract_z
Sc1 Sc 0.927 0.853 0.388
Sc2 Sc 0.073 0.147 0.888
Sc3 Sc 0.927 0.853 0.112
Sc4 Sc 0.073 0.147 0.612
Sc5 Sc 0.670 0.340 0.250
Sc6 Sc 0.330 0.660 0.750
Ga1 Ga 0.598 0.196 0.449
Ga2 Ga 0.402 0.804 0.949
Ga3 Ga 0.598 0.196 0.051
Ga4 Ga 0.402 0.804 0.551
Ga5 Ga 0.381 0.761 0.250
Ga6 Ga 0.619 0.239 0.750
Ag1 Ag 0.779 0.557 0.906
Ag2 Ag 0.221 0.443 0.406
Ag3 Ag 0.779 0.557 0.594
Ag4 Ag 0.221 0.443 0.094
```

Values from the calculation:
energy of formation from the pure elements = -0.4475 eV per atom
crystal system = orthorhombic

ScGaAg2Se4 | PBE | optimized geometry

The structure in CIF format:
```
data_ScGaAg2Se4
_symmetry_space_group_name_H-M 'P 1'
_symmetry_Int_Tables_number 1
_symmetry_space_group_name_Hall 'P 1'
_cell_length_a 6.049
_cell_length_b 6.049
_cell_length_c 7.276
_cell_angle_alpha 114.56
_cell_angle_beta 114.56
_cell_angle_gamma 90.00
loop_
_atom_site_label
_atom_site_type_symbol
_atom_site_fract_x
_atom_site_fract_y
_atom_site_fract_z
Sc1 Sc 0.986 0.486 0.972
Ga1 Ga 0.736 0.736 0.472
Ag1 Ag 0.486 0.986 0.972
Ag2 Ag 0.236 0.236 0.472
Se1 Se 0.629 0.618 0.713
Se2 Se 0.854 0.388 0.231
Se3 Se 0.377 0.843 0.230
Se4 Se 0.084 0.095 0.713
```

Values from the calculation:
uncorrected formation energy = -16.3 kcal/mol of atoms
crystal system = tetragonal

Sc3GaAg3Se8 | PBE | optimized geometry

The structure in CIF format:
```
data_Sc3GaAg3Se8
_symmetry_space_group_name_H-M 'P 1'
_symmetry_Int_Tables_number 1
_symmetry_space_group_name_Hall 'P 1'
_cell_length_a 7.792
_cell_length_b 7.793
_cell_length_c 7.982
_cell_angle_alpha 119.33
_cell_angle_beta 90.00
_cell_angle_gamma 120.00
loop_
_atom_site_label
_atom_site_type_symbol
_atom_site_fract_x
_atom_site_fract_y
_atom_site_fract_z
Sc1 Sc 0.500 0.000 0.500
Sc2 Sc 0.500 0.500 0.500
Sc3 Sc 0.000 0.500 0.500
Ga1 Ga 0.000 0.000 0.500
Ag1 Ag 0.000 0.000 0.000
Ag2 Ag 0.000 0.500 0.000
Ag3 Ag 0.500 0.500 0.000
Se1 Se 0.258 0.515 0.274
Se2 Se 0.742 0.485 0.726
Se3 Se 0.762 0.525 0.270
Se4 Se 0.238 0.475 0.730
Se5 Se 0.762 0.007 0.270
Se6 Se 0.238 0.993 0.730
Se7 Se 0.245 0.007 0.270
Se8 Se 0.755 0.993 0.730
```

Values from the calculation:
uncorrected formation energy = -20.3 kcal/mol of atoms
crystal system = monoclinic

ScGa2AgSn | PBE | optimized geometry

The structure in CIF format:
```
data_ScGa2AgSn
_symmetry_space_group_name_H-M 'P 1'
_symmetry_Int_Tables_number 1
_symmetry_space_group_name_Hall 'P 1'
_cell_length_a 5.228
_cell_length_b 5.484
_cell_length_c 5.228
_cell_angle_alpha 90.00
_cell_angle_beta 90.00
_cell_angle_gamma 90.00
loop_
_atom_site_label
_atom_site_type_symbol
_atom_site_fract_x
_atom_site_fract_y
_atom_site_fract_z
Sc1 Sc 0.000 0.000 0.000
Ga1 Ga 0.000 0.000 0.500
Ga2 Ga 0.500 0.000 0.000
Sn1 Sn 0.000 0.500 0.000
Ag1 Ag 0.500 0.500 0.500
```

Values from the calculation:
energy of formation from the pure elements = 0.5870 eV per atom
crystal system = tetragonal

Please write out number 5 again, unchanged.
Sc3GaAg3Se8 | PBE | optimized geometry

The structure in CIF format:
```
data_Sc3GaAg3Se8
_symmetry_space_group_name_H-M 'P 1'
_symmetry_Int_Tables_number 1
_symmetry_space_group_name_Hall 'P 1'
_cell_length_a 7.792
_cell_length_b 7.793
_cell_length_c 7.982
_cell_angle_alpha 119.33
_cell_angle_beta 90.00
_cell_angle_gamma 120.00
loop_
_atom_site_label
_atom_site_type_symbol
_atom_site_fract_x
_atom_site_fract_y
_atom_site_fract_z
Sc1 Sc 0.500 0.000 0.500
Sc2 Sc 0.500 0.500 0.500
Sc3 Sc 0.000 0.500 0.500
Ga1 Ga 0.000 0.000 0.500
Ag1 Ag 0.000 0.000 0.000
Ag2 Ag 0.000 0.500 0.000
Ag3 Ag 0.500 0.500 0.000
Se1 Se 0.258 0.515 0.274
Se2 Se 0.742 0.485 0.726
Se3 Se 0.762 0.525 0.270
Se4 Se 0.238 0.475 0.730
Se5 Se 0.762 0.007 0.270
Se6 Se 0.238 0.993 0.730
Se7 Se 0.245 0.007 0.270
Se8 Se 0.755 0.993 0.730
```

Values from the calculation:
uncorrected formation energy = -20.3 kcal/mol of atoms
crystal system = monoclinic